Version P
This record from Alexandria via LeMat-Bulk describes crystalline TaBeSe at its relaxed geometry. The functional is GGA-PBE.

abc: 4.1757 4.1757 4.1757
angles: 60.00 60.00 60.00
Last column: nearest neighbours and their distance in Å.
Positions (direct):
Ta 0.0000 0.0000 0.0000  4 Se 2.56
Be 0.5000 0.5000 0.5000  4 Se 2.56
Se 0.7500 0.7500 0.7500  4 Ta 2.56, 4 Be 2.56

Properties
Density of states at the Fermi level   1.42 states/eV/atom
Space group   F-43m

Version Q
This record from Alexandria via LeMat-Bulk describes crystalline TaBeSe at its relaxed geometry. The functional is GGA-PBE.

abc: 4.2859 4.2859 3.1626
angles: 90.00 90.00 120.00
Last column: nearest neighbours and their distance in Å.
Positions (direct):
Ta 0.0000 0.0000 0.0000  3 Se 2.47
Be 0.3333 0.6667 0.5000  6 Ta 2.94, 6 Se 2.94, 2 Be 3.16
Se 0.6667 0.3333 0.0000  3 Ta 2.47

Properties
Density of states at the Fermi level   0.54 states/eV/atom
Space group   P-6m2

Version R
This record from Alexandria via LeMat-Bulk describes crystalline TaBeSe at its relaxed geometry. The functional is GGA-PBE.

abc: 3.1753 3.1753 5.7839
angles: 90.00 90.00 120.00
Last column: nearest neighbours and their distance in Å.
Positions (direct):
Ta 0.0000 0.0000 0.0000  3 Se 2.59, 3 Be 2.64
Be 0.6667 0.3333 0.3286  3 Ta 2.64, 3 Se 2.76
Se 0.3333 0.6667 0.6844  3 Ta 2.59, 3 Be 2.76

Properties
Density of states at the Fermi level   0.70 states/eV/atom
Space group   P3m1

Version S
This record from Alexandria via LeMat-Bulk describes crystalline TaBeSe at its relaxed geometry. The functional is GGA-PBE.

abc: 4.7687 4.7687 4.7687
angles: 140.64 140.64 56.88
Last column: nearest neighbours and their distance in Å.
Positions (direct):
Ta 0.0000 0.0000 0.0000  5 Be 2.67-2.79, 5 Se 2.69-2.76
Be 0.6675 0.6675 0.0000  5 Se 2.64-2.84, 5 Ta 2.67-2.79
Se 0.3290 0.3290 0.0000  5 Be 2.64-2.84, 5 Ta 2.69-2.76

Properties
Density of states at the Fermi level   0.29 states/eV/atom
Space group   I4mm

Q: Which of them is the most stable? A: version S.

Version P
This record from Alexandria via LeMat-Bulk describes crystalline TaBeSe3 at its relaxed geometry. The functional is GGA-PBE.

abc: 4.5006 4.5006 4.5006
angles: 90.00 90.00 90.00
Last column: nearest neighbours and their distance in Å.
Positions (direct):
Ta 0.0000 0.0000 0.0000  12 Se 3.18
Be 0.5000 0.5000 0.5000  6 Se 2.25
Se 0.0000 0.5000 0.5000  2 Be 2.25
Se 0.5000 0.0000 0.5000  2 Be 2.25
Se 0.5000 0.5000 0.0000  2 Be 2.25

Properties
Density of states at the Fermi level   0.89 states/eV/atom
Space group   Pm-3m

Version Q
This record from Alexandria via LeMat-Bulk describes crystalline TaBeSe3 at its relaxed geometry. The functional is GGA-PBE.

abc: 5.0297 5.0297 5.0297
angles: 90.00 90.00 90.00
Last column: nearest neighbours and their distance in Å.
Positions (direct):
Ta 0.0000 0.0000 0.0000  6 Se 2.51
Be 0.5000 0.5000 0.5000  12 Se 3.56
Se 0.0000 0.0000 0.5000  2 Ta 2.51
Se 0.0000 0.5000 0.0000  2 Ta 2.51
Se 0.5000 0.0000 0.0000  2 Ta 2.51

Properties
Density of states at the Fermi level   0.95 states/eV/atom
Space group   Pm-3m

Q: Which of them is the most stable? A: version Q.

Version P
This record from Alexandria via LeMat-Bulk describes crystalline Ta2BeSe at its relaxed geometry. The functional is GGA-PBE.

abc: 3.0208 3.0208 6.7426
angles: 90.00 90.00 90.00
Last column: nearest neighbours and their distance in Å.
Positions (direct):
Ta 0.0000 0.0000 0.2368  4 Be 2.67, 4 Se 2.78
Ta 0.0000 0.0000 0.7632  4 Be 2.67, 4 Se 2.78
Be 0.5000 0.5000 0.0000  8 Ta 2.67
Se 0.5000 0.5000 0.5000  8 Ta 2.78, 4 Se 3.02

Properties
Density of states at the Fermi level   0.45 states/eV/atom
Space group   P4/mmm

Version Q
This record from Alexandria via LeMat-Bulk describes crystalline Ta2BeSe at its relaxed geometry. The functional is GGA-PBE.

abc: 4.5195 4.5195 4.5195
angles: 60.00 60.00 60.00
Last column: nearest neighbours and their distance in Å.
Positions (direct):
Ta 0.0000 0.0000 0.0000  4 Ta 2.77, 4 Se 2.77
Ta 0.2500 0.2500 0.2500  4 Be 2.77, 4 Ta 2.77
Be 0.5000 0.5000 0.5000  4 Se 2.77, 4 Ta 2.77
Se 0.7500 0.7500 0.7500  4 Ta 2.77, 4 Be 2.77

Properties
Density of states at the Fermi level   1.42 states/eV/atom
Space group   F-43m

Version R
This record from Alexandria via LeMat-Bulk describes crystalline Ta2BeSe at its relaxed geometry. The functional is GGA-PBE.

abc: 4.9375 4.9375 4.5401
angles: 102.97 102.97 35.68
Last column: nearest neighbours and their distance in Å.
Positions (direct):
Ta 0.0000 0.0000 0.0000  3 Se 2.67, 4 Be 2.69-2.79, 1 Ta 2.92
Ta 0.2117 0.2117 0.6216  3 Be 2.63-2.67, 4 Se 2.72-2.76, 1 Ta 2.92
Be 0.4759 0.4759 0.5015  7 Ta 2.63-2.79, 2 Se 2.86
Se 0.7400 0.7400 0.1420  7 Ta 2.67-2.76, 2 Be 2.86

Properties
Density of states at the Fermi level   0.37 states/eV/atom
Space group   Cm

Q: Which of them is the most stable? A: version P.

Version P
This record from Alexandria via LeMat-Bulk describes crystalline Ta2BeSe at its relaxed geometry. The functional is GGA-PBE.

abc: 4.4228 4.4228 4.4228
angles: 60.00 60.00 60.00
Last column: nearest neighbours and their distance in Å.
Positions (direct):
Ta 0.2500 0.2500 0.2500  4 Se 2.71, 4 Be 2.71
Ta 0.7500 0.7500 0.7500  4 Se 2.71, 4 Be 2.71
Be 0.0000 0.0000 0.0000  8 Ta 2.71
Se 0.5000 0.5000 0.5000  8 Ta 2.71

Properties
Density of states at the Fermi level   1.19 states/eV/atom
Space group   Fm-3m

Version Q
This record from Alexandria via LeMat-Bulk describes crystalline Ta2BeSe at its relaxed geometry. The functional is GGA-PBE.

abc: 7.0094 7.0094 7.0094
angles: 135.99 135.99 64.00
Last column: nearest neighbours and their distance in Å.
Positions (direct):
Ta 0.0620 0.6250 0.9370  2 Be 2.21
Ta 0.3750 0.3120 0.4370  2 Be 2.21
Ta 0.6880 0.1250 0.0630  2 Be 2.21
Ta 0.8750 0.9380 0.5630  2 Be 2.21
Be 0.0000 0.0000 0.0000  4 Ta 2.21
Be 0.7500 0.2500 0.5000  4 Ta 2.21
Se 0.2500 0.7500 0.5000  4 Ta 2.58
Se 0.5000 0.5000 0.0000  4 Ta 2.58

Properties
Density of states at the Fermi level   0.72 states/eV/atom
Space group   I-42d

Q: Which of them is the most stable? A: version P.

Version P
This record from Alexandria via LeMat-Bulk describes crystalline Ta2BeSe at its relaxed geometry. The functional is GGA-PBE.

abc: 2.9350 2.9350 9.1039
angles: 90.00 90.00 104.79
Last column: nearest neighbours and their distance in Å.
Positions (direct):
Ta 0.0000 0.0000 0.0000  2 Be 2.45
Ta 0.5000 0.5000 0.2419  2 Se 2.63, 6 Ta 2.84-2.94
Be 0.5000 0.5000 0.8168  2 Ta 2.45
Se 0.0000 0.0000 0.4542  2 Ta 2.63, 4 Se 2.94

Properties
Density of states at the Fermi level   0.55 states/eV/atom
Space group   Cmm2

Version Q
This record from Alexandria via LeMat-Bulk describes crystalline Ta2BeSe at its relaxed geometry. The functional is GGA-PBE.

abc: 5.2564 5.2564 5.2564
angles: 145.43 129.45 62.69
Last column: nearest neighbours and their distance in Å.
Positions (direct):
Ta 0.0000 0.0000 0.0000  2 Be 2.66, 4 Se 2.75, 2 Ta 2.95
Ta 0.7135 0.2135 0.5000  2 Se 2.67, 4 Be 2.74, 2 Ta 2.95
Be 0.2399 0.7399 0.5000  2 Se 2.60, 6 Ta 2.66-2.74
Se 0.4717 0.4717 0.0000  2 Be 2.60, 6 Ta 2.67-2.75

Properties
Density of states at the Fermi level   0.59 states/eV/atom
Space group   Imm2

Q: Which of them is the most stable? A: version Q.

Version P
This record from Alexandria via LeMat-Bulk describes crystalline Ta2BeSe at its relaxed geometry. The functional is GGA-PBE.

abc: 6.4516 6.4516 6.4516
angles: 31.44 31.44 31.44
Last column: nearest neighbours and their distance in Å.
Positions (direct):
Ta 0.2314 0.2314 0.2314  3 Be 2.34
Ta 0.7686 0.7686 0.7686  3 Be 2.34
Be 0.5000 0.5000 0.5000  6 Ta 2.34
Se 0.0000 0.0000 0.0000  6 Ta 2.75

Properties
Density of states at the Fermi level   0.62 states/eV/atom
Space group   R-3m

Version Q
This record from Alexandria via LeMat-Bulk describes crystalline Ta2BeSe at its relaxed geometry. The functional is GGA-PBE.

abc: 4.7529 4.7529 4.7529
angles: 136.34 120.00 77.09
Last column: nearest neighbours and their distance in Å.
Positions (direct):
Ta 0.2276 0.2276 0.0000  2 Be 2.45, 2 Se 2.69
Ta 0.7724 0.7724 0.0000  2 Be 2.45, 2 Se 2.69
Be 0.0000 0.5000 0.5000  4 Ta 2.45
Se 0.5000 0.0000 0.5000  8 Ta 2.69-2.92, 4 Be 2.96

Properties
Density of states at the Fermi level   0.46 states/eV/atom
Space group   Immm

Version R
This record from Alexandria via LeMat-Bulk describes crystalline Ta2BeSe at its relaxed geometry. The functional is GGA-PBE.

abc: 8.5537 8.5537 8.5537
angles: 21.19 21.19 21.19
Last column: nearest neighbours and their distance in Å.
Positions (direct):
Ta 0.0000 0.0000 0.0000  3 Be 2.60, 3 Ta 2.91
Ta 0.2426 0.2426 0.2426  3 Se 2.59
Be 0.7411 0.7411 0.7411  3 Ta 2.60
Se 0.5024 0.5024 0.5024  3 Ta 2.59

Properties
Density of states at the Fermi level   0.66 states/eV/atom
Space group   R3m

Version S
This record from Alexandria via LeMat-Bulk describes crystalline Ta2BeSe at its relaxed geometry. The functional is GGA-PBE.

abc: 4.2671 4.8988 4.8988
angles: 36.65 90.00 90.00
Last column: nearest neighbours and their distance in Å.
Positions (direct):
Ta 0.0000 0.0000 0.0000  3 Se 2.58, 4 Be 2.69
Ta 0.5000 0.2906 0.2906  3 Be 2.48-2.66, 4 Se 2.71
Be 0.5000 0.5574 0.5574  7 Ta 2.48-2.69, 2 Se 2.63
Se 0.0000 0.7226 0.7226  7 Ta 2.58-2.71, 2 Be 2.63

Properties
Density of states at the Fermi level   0.64 states/eV/atom
Space group   Amm2

Q: Which of them is the most stable? A: version P.

Version P
This record from Alexandria via LeMat-Bulk describes crystalline Ta2BeSe at its relaxed geometry. The functional is GGA-PBE.

abc: 3.2801 4.1392 4.7033
angles: 90.00 90.00 90.00
Last column: nearest neighbours and their distance in Å.
Positions (direct):
Ta 0.0000 0.0000 0.0000  4 Se 2.64, 4 Ta 2.87
Ta 0.5000 0.0000 0.5000  4 Be 2.64, 4 Ta 2.87
Be 0.0000 0.5000 0.5000  4 Ta 2.64, 4 Se 2.87
Se 0.5000 0.5000 0.0000  4 Ta 2.64, 4 Be 2.87

Properties
Density of states at the Fermi level   0.50 states/eV/atom
Space group   Pmmm

Version Q
This record from Alexandria via LeMat-Bulk describes crystalline Ta2BeSe at its relaxed geometry. The functional is GGA-PBE.

abc: 4.6787 4.6787 3.0549
angles: 98.94 98.94 103.47
Last column: nearest neighbours and their distance in Å.
Positions (direct):
Ta 0.0000 0.5000 0.0000  2 Se 2.59, 2 Be 2.59, 2 Ta 2.90
Ta 0.5000 0.0000 0.0000  2 Se 2.59, 2 Be 2.59, 2 Ta 2.90
Be 0.0000 0.0000 0.5000  4 Ta 2.59, 2 Se 2.90
Se 0.5000 0.5000 0.5000  4 Ta 2.59, 2 Be 2.90

Properties
Density of states at the Fermi level   0.28 states/eV/atom
Space group   C2/m

Version R
This record from Alexandria via LeMat-Bulk describes crystalline Ta2BeSe at its relaxed geometry. The functional is GGA-PBE.

abc: 3.3894 3.3894 5.5705
angles: 90.00 90.00 90.00
Last column: nearest neighbours and their distance in Å.
Positions (direct):
Ta 0.0000 0.0000 0.0000  1 Be 2.53, 4 Se 2.72
Ta 0.5000 0.5000 0.2875  4 Be 2.57, 1 Se 2.68
Be 0.0000 0.0000 0.4536  5 Ta 2.53-2.57
Se 0.5000 0.5000 0.7694  6 Ta 2.68-2.89, 4 Be 2.97

Properties
Density of states at the Fermi level   0.68 states/eV/atom
Space group   P4mm

Q: Which of them is the most stable? A: version R.

Version P
This record from Alexandria via LeMat-Bulk describes crystalline BeTcSe3 at its relaxed geometry. The functional is GGA-PBE.

abc: 4.8854 4.8854 4.8854
angles: 90.00 90.00 90.00
Last column: nearest neighbours and their distance in Å.
Positions (direct):
Be 0.0000 0.0000 0.0000  12 Se 3.45
Tc 0.5000 0.5000 0.5000  6 Se 2.44
Se 0.0000 0.5000 0.5000  2 Tc 2.44
Se 0.5000 0.0000 0.5000  2 Tc 2.44
Se 0.5000 0.5000 0.0000  2 Tc 2.44

Properties
Density of states at the Fermi level   1.45 states/eV/atom
Space group   Pm-3m

Version Q
This record from Alexandria via LeMat-Bulk describes crystalline BeTcSe3 at its relaxed geometry. The functional is GGA-PBE.

abc: 4.5667 4.5667 4.5667
angles: 90.00 90.00 90.00
Last column: nearest neighbours and their distance in Å.
Positions (direct):
Be 0.0000 0.0000 0.0000  6 Se 2.28
Tc 0.5000 0.5000 0.5000  12 Se 3.23
Se 0.0000 0.0000 0.5000  2 Be 2.28
Se 0.0000 0.5000 0.0000  2 Be 2.28
Se 0.5000 0.0000 0.0000  2 Be 2.28

Properties
Density of states at the Fermi level   0.73 states/eV/atom
Space group   Pm-3m

Q: Which of them is the most stable? A: version Q.